Record 1
The following is a PBE-GGA calculation of a relaxed Rb3UPa2As6 crystal, from Alexandria via LeMat-Bulk. Values from VASP.

Geometry as Quantum ESPRESSO input:
```
&SYSTEM
  ibrav = 0, nat = 12, ntyp = 4
/
ATOMIC_SPECIES
U 238.03 U.upf
As 74.92 As.upf
Pa 231.04 Pa.upf
Rb 85.47 Rb.upf
ATOMIC_POSITIONS angstrom
U 0.0000 0.0000 0.0000
As 2.4699 -0.0005 1.4115
As 2.4921 4.3150 1.4119
As 3.7193 2.1628 6.5402
Pa 0.0007 4.3029 0.0003
Rb 4.9661 0.0003 3.9759
Rb -2.4816 4.3016 3.9759
As -1.2348 2.1391 1.4115
As -0.0076 -0.0132 6.5398
Pa 3.7266 2.1510 0.0003
Rb 1.2422 2.1509 3.9759
As 0.0146 4.3024 6.5402
CELL_PARAMETERS angstrom
7.4529 -0.0010 0.0003
-3.7255 6.4549 0.0003
-1.2429 -2.1520 7.9511
```

**Formation energy from the elements**: -720 meV/atom
**Space-group type**: C2/m
**DOS at the Fermi energy**: 0.1152 states/eV per atom

=====

Record 2
The following is a PBE-GGA calculation of a relaxed Pa2ReAs crystal, from Alexandria via LeMat-Bulk. Values from VASP.

Geometry as Quantum ESPRESSO input:
```
&SYSTEM
  ibrav = 0, nat = 4, ntyp = 3
/
ATOMIC_SPECIES
Re 186.21 Re.upf
As 74.92 As.upf
Pa 231.04 Pa.upf
ATOMIC_POSITIONS angstrom
Re 0.0000 0.0000 0.0000
As 4.0002 2.3095 3.4528
Pa 6.0004 3.4643 5.3512
Pa 2.0001 1.1548 1.5544
CELL_PARAMETERS angstrom
4.0002 0.0000 0.0000
2.0001 3.4643 0.0000
2.0001 1.1548 6.9056
```

**Formation energy from the elements**: -424 meV/atom
**Polymorph energy (0 for the lowest one)**: 0.000 eV per formula unit
**Space-group type**: R-3m
**DOS at the Fermi energy**: 0.9492 states/eV per atom

=====

Record 3
The following is a PBE-GGA calculation of a relaxed PaReAs crystal, from Alexandria via LeMat-Bulk. Values from VASP.

Geometry as Quantum ESPRESSO input:
```
&SYSTEM
  ibrav = 0, nat = 6, ntyp = 3
/
ATOMIC_SPECIES
As 74.92 As.upf
Pa 231.04 Pa.upf
Re 186.21 Re.upf
ATOMIC_POSITIONS angstrom
As 0.4796 0.2124 -1.1698
Pa 1.7945 -5.1954 1.3798
Re -0.1571 -2.2086 -2.0503
Re 0.7249 -6.1551 3.7295
Pa -1.2267 -3.1684 0.2994
As 0.0883 -8.5761 2.8490
CELL_PARAMETERS angstrom
-1.2953 0.0465 -3.7013
3.6479 0.9141 -1.0824
-1.7848 -9.3243 6.4629
```

**Formation energy from the elements**: 9 meV/atom
**Polymorph energy (0 for the lowest one)**: 0.674 eV per formula unit
**Space-group type**: P-1
**DOS at the Fermi energy**: 0.7771 states/eV per atom

=====

Record 4
The following is a PBE-GGA calculation of a relaxed Pa2ReAs crystal, from Alexandria via LeMat-Bulk. Values from VASP.

Geometry as Quantum ESPRESSO input:
```
&SYSTEM
  ibrav = 0, nat = 4, ntyp = 3
/
ATOMIC_SPECIES
As 74.92 As.upf
Re 186.21 Re.upf
Pa 231.04 Pa.upf
ATOMIC_POSITIONS angstrom
As -1.8094 4.0185 0.5584
Re -1.7524 0.7951 -1.3763
Pa -0.0276 1.5632 0.9383
Pa -0.0862 4.8835 2.9312
CELL_PARAMETERS angstrom
-0.1634 1.7178 -2.8666
-3.3415 -0.1275 0.1141
-0.1138 6.4467 3.8695
```

**Formation energy from the elements**: -367 meV/atom
**Polymorph energy (0 for the lowest one)**: 0.229 eV per formula unit
**Space-group type**: P4/mmm
**DOS at the Fermi energy**: 1.3792 states/eV per atom

=====

Record 5
The following is a PBE-GGA calculation of a relaxed Pa3Re5As12 crystal, from Alexandria via LeMat-Bulk. Values from VASP.

Geometry as Quantum ESPRESSO input:
```
&SYSTEM
  ibrav = 0, nat = 80, ntyp = 3
/
ATOMIC_SPECIES
As 74.92 As.upf
Re 186.21 Re.upf
Pa 231.04 Pa.upf
ATOMIC_POSITIONS angstrom
As -9.6200 -6.2341 1.2272
Re -1.2545 5.4824 3.5818
Re -3.7737 2.5065 9.3231
As -5.5759 -2.0799 1.3273
As -2.1453 3.3195 10.8146
Re -1.7968 -1.1730 11.5100
Pa -1.5034 -8.3183 5.9992
As -7.9781 2.6954 -1.5923
As -6.1554 3.5326 4.9463
Re -1.0501 -3.9842 7.7992
As -8.0846 7.3898 3.5976
As -4.2606 -0.5483 -1.8431
As -3.0688 -9.1682 3.4931
As -7.8427 -5.9333 4.0982
Pa -6.9264 0.0492 -0.4325
Re -6.3538 4.3133 -0.5523
As -10.8120 3.8809 0.7844
As -1.3082 -4.3959 2.9405
Re 0.0000 0.0000 0.0000
As -9.4057 -0.2329 6.1450
As -6.8929 -1.2301 8.9337
Re -5.5767 -0.8892 3.5453
As -8.2241 -2.5167 -0.9296
Re -5.0992 -1.1691 -4.1341
Re -3.2963 2.2266 1.6437
Re -7.8572 -4.0050 5.4469
As -11.3734 6.5206 -1.4548
As -0.3414 -5.6593 6.3062
Pa -5.6415 -7.8245 3.7941
As -3.8455 -1.4882 10.3961
As -7.6007 4.5320 1.6237
As -3.4574 0.4013 3.1201
As -6.0708 -4.0227 6.9785
As -5.0827 2.2443 0.1121
As -4.9980 -5.3110 2.1443
Pa -8.0717 -8.4791 -0.1928
As -6.7109 -5.9502 -0.7103
As -7.3080 -0.2902 -3.3054
As -1.5335 4.4557 5.8634
As -1.2623 -1.9079 6.7123
As -5.9230 6.7086 6.1085
Re -9.3567 -0.6054 -4.4194
Re -7.6731 2.8603 3.2783
Pa -9.8342 -0.3255 3.2601
As -8.2613 -8.9816 2.6753
As -1.9221 0.6145 13.0352
Re -4.3222 -6.3716 -0.0365
Pa -7.6184 -4.1450 1.6072
Re -10.1033 2.2058 -0.7086
As -3.3107 4.1549 2.9924
As -0.8735 1.1765 5.3606
Re -0.4775 0.2799 7.6794
As -7.0909 0.7592 2.3931
Pa -1.3193 -1.4529 3.8306
As 0.2199 -8.2990 8.5454
Pa -9.6500 6.5399 1.0914
As -9.8912 0.1295 0.3783
As -2.8922 7.2032 4.4153
As -9.0082 -5.0979 -3.7240
As -2.9293 0.7383 8.0202
As -5.2304 -8.4870 0.9822
As -3.1754 -4.4738 8.6830
As -10.2799 -2.9549 1.7300
As -1.7478 -1.5455 0.9457
Pa -3.0817 6.7007 7.2835
As -5.5775 0.3015 5.7634
Pa -3.5350 2.3666 5.4834
Pa -5.5120 6.0461 3.2966
Pa -4.2270 -1.8276 7.5231
As -3.5528 -6.3104 5.4669
Re -7.3797 -4.2849 -2.2325
As -4.0625 -2.5376 4.6976
As -9.8452 2.6175 4.1501
Re 0.7770 -5.2025 4.0976
As -7.6960 -2.1797 3.9705
Re -3.7495 -2.1075 -0.1563
Re -7.4039 0.3291 7.2470
As -9.2314 -2.3929 -5.9445
As -4.4425 4.1718 7.8010
Re -3.4804 -4.6387 3.8123
CELL_PARAMETERS angstrom
-2.5091 10.9648 7.1636
-10.1985 -2.3382 -8.2682
1.5541 -10.4049 8.1952
```

**Formation energy from the elements**: 63 meV/atom
**Space-group type**: Ia-3d
**DOS at the Fermi energy**: 1.0122 states/eV per atom

=====

Record 6
The following is a PBE-GGA calculation of a relaxed PaReAs crystal, from Alexandria via LeMat-Bulk. Values from VASP.

Geometry as Quantum ESPRESSO input:
```
&SYSTEM
  ibrav = 0, nat = 3, ntyp = 3
/
ATOMIC_SPECIES
As 74.92 As.upf
Re 186.21 Re.upf
Pa 231.04 Pa.upf
ATOMIC_POSITIONS angstrom
As -0.1282 -1.1201 2.5385
Re -2.3107 -0.1815 1.4401
Pa -2.4700 -1.5726 4.5929
CELL_PARAMETERS angstrom
-1.8268 2.4672 0.9963
-2.6566 -1.6235 -0.8506
1.9913 -2.6087 4.8834
```

**Formation energy from the elements**: -216 meV/atom
**Polymorph energy (0 for the lowest one)**: 0.000 eV per formula unit
**Space-group type**: I4mm
**DOS at the Fermi energy**: 0.9271 states/eV per atom

=====

Record 7
The following is a PBE-GGA calculation of a relaxed PaAsRh3 crystal, from Alexandria via LeMat-Bulk. Values from VASP.

Geometry as Quantum ESPRESSO input:
```
&SYSTEM
  ibrav = 0, nat = 20, ntyp = 3
/
ATOMIC_SPECIES
Rh 102.91 Rh.upf
Pa 231.04 Pa.upf
As 74.92 As.upf
ATOMIC_POSITIONS angstrom
Rh 0.9915 0.5532 4.2286
Rh 0.9915 3.1233 3.2649
Pa 2.9744 6.9119 0.0298
Rh 2.9744 7.9334 6.0198
Rh 2.9744 5.3632 6.9835
Pa 0.9915 5.8179 5.1540
As 2.9744 7.6066 3.5956
Rh 0.9915 7.3666 1.8593
Rh 2.9744 0.9822 2.0382
Rh 0.9915 7.5044 8.2102
Pa 2.9744 2.6686 5.0944
Pa 0.9915 1.5746 10.2186
Rh 2.9744 5.2254 3.0860
As 0.9915 5.1232 8.7198
Rh 0.9915 4.7965 0.8956
As 0.9915 0.8799 6.6528
Rh 0.9915 3.2611 7.1624
Rh 2.9744 3.6901 9.3528
As 2.9744 3.3634 1.5286
Rh 2.9744 1.1200 8.3891
CELL_PARAMETERS angstrom
3.9658 0.0000 0.0000
0.0000 8.4866 0.0000
0.0000 0.0000 10.2484
```

**Formation energy from the elements**: -692 meV/atom
**Space-group type**: Pnma
**DOS at the Fermi energy**: 0.8346 states/eV per atom

=====

Record 8
The following is a PBE-GGA calculation of a relaxed PaAs3Rh5 crystal, from Alexandria via LeMat-Bulk. Values from VASP.

Geometry as Quantum ESPRESSO input:
```
&SYSTEM
  ibrav = 0, nat = 18, ntyp = 3
/
ATOMIC_SPECIES
As 74.92 As.upf
Rh 102.91 Rh.upf
Pa 231.04 Pa.upf
ATOMIC_POSITIONS angstrom
As 0.0000 1.7619 9.7504
Rh 1.8659 0.4729 11.0514
Rh 1.8659 3.8789 5.5085
As 1.8659 1.5991 0.4492
Pa 0.0000 1.3304 3.2501
Rh 1.8659 3.8789 0.9918
Rh 0.0000 6.0472 1.9491
As 1.8659 4.7582 3.2501
As 1.8659 1.5991 6.0511
As 0.0000 4.9210 12.5513
As 0.0000 4.9210 6.9494
Rh 0.0000 2.6412 12.0087
Rh 0.0000 6.0472 4.5512
Rh 0.0000 0.0000 6.5002
Pa 1.8659 5.1897 9.7504
Rh 0.0000 2.6412 7.4920
Rh 1.8659 0.4729 8.4493
Rh 0.0000 0.0000 0.0000
CELL_PARAMETERS angstrom
3.7318 0.0000 0.0000
-1.8659 6.5201 0.0000
0.0000 0.0000 13.0005
```

**Formation energy from the elements**: -509 meV/atom
**Space-group type**: Cmcm
**DOS at the Fermi energy**: 0.6101 states/eV per atom

=====

Record 9
The following is a PBE-GGA calculation of a relaxed Pa2As3Rh5 crystal, from Alexandria via LeMat-Bulk. Values from VASP.

Geometry as Quantum ESPRESSO input:
```
&SYSTEM
  ibrav = 0, nat = 20, ntyp = 3
/
ATOMIC_SPECIES
Pa 231.04 Pa.upf
Rh 102.91 Rh.upf
As 74.92 As.upf
ATOMIC_POSITIONS angstrom
Pa -8.1320 8.5258 5.1459
Rh -4.8666 4.6773 0.5580
As -8.8527 6.0296 3.9681
Rh -7.5418 7.2579 2.1383
As -6.2530 9.3165 3.0362
As -6.7376 -0.7480 0.3381
Rh -1.8159 4.8931 0.3431
Rh -2.4232 2.2083 1.3664
As -4.0419 2.5674 -0.5896
Rh -5.6538 5.3135 3.2691
Rh -3.9713 -0.0728 0.3843
Rh -4.8041 7.8792 4.4684
Pa -6.1623 2.1384 1.7276
As -7.1920 5.0828 1.0082
Pa -4.0912 7.2422 1.7647
Rh -6.1970 1.2796 -1.0083
As -3.4048 4.1960 2.4693
Rh -3.5717 10.2576 3.2248
Pa -1.9879 0.8945 -1.6479
Rh -8.3018 3.8385 2.8086
CELL_PARAMETERS angstrom
-0.3871 1.8353 -3.6528
-6.5825 -1.9531 -0.2837
-3.1504 9.5380 7.4345
```

**Formation energy from the elements**: -751 meV/atom
**Space-group type**: Cmc2_1
**DOS at the Fermi energy**: 0.8251 states/eV per atom

=====

Record 10
The following is a PBE-GGA calculation of a relaxed PaAs3Rh crystal, from Alexandria via LeMat-Bulk. Values from VASP.

Geometry as Quantum ESPRESSO input:
```
&SYSTEM
  ibrav = 0, nat = 20, ntyp = 3
/
ATOMIC_SPECIES
As 74.92 As.upf
Pa 231.04 Pa.upf
Rh 102.91 Rh.upf
ATOMIC_POSITIONS angstrom
As 0.0000 4.3493 5.8707
As 1.4243 0.6554 10.9310
Pa 4.2728 5.7795 3.6160
As 2.8485 1.4498 5.8526
As 4.2728 5.1437 0.7923
Rh 2.8485 4.3493 10.6423
Pa 4.2728 2.8799 8.1074
As 1.4243 2.9274 8.8262
As 1.4243 0.0278 2.8971
Rh 0.0000 1.4498 1.0810
As 0.0000 1.4498 5.8526
As 4.2728 2.2441 10.9310
As 1.4243 3.5550 0.7923
As 2.8485 4.3493 5.8707
Pa 1.4243 0.0196 8.1074
Rh 2.8485 1.4498 1.0810
Rh 0.0000 4.3493 10.6423
Pa 1.4243 2.9192 3.6160
As 4.2728 5.7712 8.8262
As 4.2728 2.8717 2.8971
CELL_PARAMETERS angstrom
5.6970 0.0000 0.0000
0.0000 5.7991 0.0000
0.0000 0.0000 11.7233
```

**Formation energy from the elements**: -735 meV/atom
**Space-group type**: Pbcm
**DOS at the Fermi energy**: 0.6348 states/eV per atom

=====

Record 11
The following is a PBE-GGA calculation of a relaxed PaAsRh crystal, from Alexandria via LeMat-Bulk. Values from VASP.

Geometry as Quantum ESPRESSO input:
```
&SYSTEM
  ibrav = 0, nat = 3, ntyp = 3
/
ATOMIC_SPECIES
Rh 102.91 Rh.upf
As 74.92 As.upf
Pa 231.04 Pa.upf
ATOMIC_POSITIONS angstrom
Rh 1.8622 1.8622 3.7832
As 1.8622 1.8622 1.1470
Pa 0.0000 0.0000 2.5722
CELL_PARAMETERS angstrom
3.7245 0.0000 0.0000
0.0000 3.7245 0.0000
-1.8622 -1.8622 4.4132
```

**Formation energy from the elements**: -607 meV/atom
**Space-group type**: I4mm
**DOS at the Fermi energy**: 1.2151 states/eV per atom

=====

Record 12
The following is a PBE-GGA calculation of a relaxed PaAs2Rh4 crystal, from Alexandria via LeMat-Bulk. Values from VASP.

Geometry as Quantum ESPRESSO input:
```
&SYSTEM
  ibrav = 0, nat = 28, ntyp = 3
/
ATOMIC_SPECIES
Pa 231.04 Pa.upf
As 74.92 As.upf
Rh 102.91 Rh.upf
ATOMIC_POSITIONS angstrom
Pa 1.9405 1.0790 5.4333
As 4.5414 -0.1519 11.2763
Pa 7.1417 1.5644 12.3414
Rh 1.8338 -1.9433 6.1162
As 2.8544 -4.5115 0.8778
Rh 4.1703 2.0643 13.0713
Pa 6.6004 -3.3587 10.5562
Rh 2.0723 -1.0143 3.4681
As -0.2835 -1.1001 4.3620
Rh 3.4611 1.8513 8.0936
Rh 6.4687 -1.2654 12.5214
Rh 3.4472 -4.4307 5.5776
Rh 5.0937 2.1511 10.4119
Pa 1.3992 -3.8441 3.6481
As 3.9996 -2.1278 4.7132
As 2.3335 -0.5258 8.1733
Rh 4.2375 -1.7091 9.3186
Rh 7.1251 0.2346 14.8557
Rh 4.3707 -4.3439 2.9182
As 8.8244 -1.1796 11.6275
As 6.2075 -1.7539 7.8162
As 5.6866 2.2318 15.1117
Rh 6.7071 -0.3364 9.8733
Rh 6.0246 4.1935 13.6360
Rh 5.0799 -4.1310 7.8959
Rh 2.5164 -6.4732 2.3535
Rh 1.4159 -2.5143 1.1338
Rh 4.3035 -0.5705 6.6709
CELL_PARAMETERS angstrom
-2.6972 -2.2230 2.1870
4.4117 -5.4240 -0.0723
6.8264 5.3673 13.8749
```

**Formation energy from the elements**: -661 meV/atom
**Space-group type**: Pnma
**DOS at the Fermi energy**: 0.4689 states/eV per atom